1.
TcHgGe2P | PBE | optimized geometry

Properties
The size of the total moment comes out at 0.56 Bohr magnetons per cell. The density of states at the Fermi level is 3.88 states/eV/f.u. As for the formation energy: 0.706 eV per atom.

Structure (POSCAR):
```
TcHgGe2P
1.0
4.858 0.000 0.000
0.000 4.858 0.000
0.000 0.000 4.458
Tc Hg Ge P
1 1 2 1
Cartesian
0.000 0.000 0.000 Tc
2.429 2.429 0.000 Hg
0.000 2.429 2.229 Ge
2.429 0.000 2.229 Ge
0.000 0.000 2.229 P
```

***

2.
Tl2HgGeP | PBE | optimized geometry

Properties
The size of the total moment comes out at 0.00 Bohr magnetons per cell. The density of states at the Fermi level is 2.91 states/eV/f.u. As for the formation energy: 0.855 eV per atom.

Structure (POSCAR):
```
Tl2HgGeP
1.0
5.605 0.000 0.000
0.000 5.605 0.000
0.000 0.000 5.202
Tl Hg Ge P
2 1 1 1
Cartesian
0.000 2.803 0.000 Tl
2.803 0.000 0.000 Tl
0.000 0.000 0.000 Hg
0.000 0.000 2.601 Ge
2.803 2.803 2.601 P
```

***

3.
Zn2HgGeP | PBE | optimized geometry

Properties
The size of the total moment comes out at 0.01 Bohr magnetons per cell. The density of states at the Fermi level is 3.43 states/eV/f.u. As for the formation energy: 0.880 eV per atom.

Structure (POSCAR):
```
Zn2HgGeP
1.0
4.888 0.000 0.000
0.000 4.888 0.000
0.000 0.000 5.284
Zn Hg Ge P
2 1 1 1
Cartesian
0.000 2.444 0.000 Zn
2.444 0.000 0.000 Zn
0.000 0.000 0.000 Hg
2.444 2.444 2.642 Ge
0.000 0.000 2.642 P
```

***

4.
PaHgGe2 | PBE | optimized geometry

Properties
The size of the total moment comes out at 0.00 Bohr magnetons per cell. The density of states at the Fermi level is 6.63 states/eV/f.u. The energy above the lowest structure with this stoichiometry is 13.93 kcal/mol of atoms. As for the formation energy: 0.311 eV per atom.

Structure (POSCAR):
```
PaHgGe2
1.0
2.211 1.277 7.818
-2.211 1.277 7.818
0.000 -2.553 7.818
Pa Hg Ge
1 1 2
Cartesian
0.000 0.000 0.000 Pa
0.000 0.000 11.726 Hg
0.000 0.000 9.153 Ge
0.000 0.000 14.300 Ge
```

***

5.
PaHgGe2 | PBE | optimized geometry

Properties
The size of the total moment comes out at 0.00 Bohr magnetons per cell. The density of states at the Fermi level is 3.09 states/eV/f.u. The energy above the lowest structure with this stoichiometry is 0.00 kcal/mol of atoms. As for the formation energy: -0.293 eV per atom.

Structure (POSCAR):
```
PaHgGe2
1.0
4.577 0.000 0.000
0.000 4.577 0.000
0.000 0.000 4.044
Pa Hg Ge
1 1 2
Cartesian
0.000 0.000 0.000 Pa
2.288 2.288 0.000 Hg
0.000 2.288 2.022 Ge
2.288 0.000 2.022 Ge
```

***

6.
PmPaHgGe | PBE | optimized geometry

Properties
The size of the total moment comes out at 1.58 Bohr magnetons per cell. The density of states at the Fermi level is 8.67 states/eV/f.u. As for the formation energy: -0.203 eV per atom.

Structure (POSCAR):
```
PmPaHgGe
1.0
0.000 3.692 3.692
3.692 0.000 3.692
3.692 3.692 0.000
Pm Pa Hg Ge
1 1 1 1
Cartesian
0.000 0.000 0.000 Pm
3.692 3.692 3.692 Pa
1.846 1.846 1.846 Hg
5.538 5.538 5.538 Ge
```

***

7.
SmPaHgGe | PBE | optimized geometry

Properties
The size of the total moment comes out at 1.57 Bohr magnetons per cell. The density of states at the Fermi level is 8.63 states/eV/f.u. As for the formation energy: -0.206 eV per atom.

Structure (POSCAR):
```
SmPaHgGe
1.0
0.000 3.683 3.683
3.683 0.000 3.683
3.683 3.683 0.000
Sm Pa Hg Ge
1 1 1 1
Cartesian
0.000 0.000 0.000 Sm
3.683 3.683 3.683 Pa
5.525 5.525 5.525 Hg
1.842 1.842 1.842 Ge
```

***

8.
PaSnHgGe | PBE | optimized geometry

Properties
The size of the total moment comes out at 0.00 Bohr magnetons per cell. The density of states at the Fermi level is 3.70 states/eV/f.u. As for the formation energy: -0.165 eV per atom.

Structure (POSCAR):
```
PaSnHgGe
1.0
4.429 0.000 0.000
0.000 4.429 0.000
0.000 0.000 9.546
Pa Sn Hg Ge
2 2 2 2
Cartesian
1.107 1.107 2.054 Pa
3.322 3.322 7.492 Pa
1.107 1.107 7.008 Sn
3.322 3.322 2.538 Sn
1.107 3.322 4.773 Hg
3.322 1.107 4.773 Hg
1.107 3.322 0.000 Ge
3.322 1.107 0.000 Ge
```

***

Look up the size of the total moment of the first one. 0.56 Bohr magnetons per cell

***

Which value of size of the total moment does entry 3 give? 0.01 Bohr magnetons per cell